(1)
This record from Alexandria describes crystalline CaIn2Hg9 at its relaxed geometry. The functional is PBE-GGA.

The space group is P4/mmm (No. 123) and the conventional cell measures 4.9356, 4.9356 and 12.8875 Å, with angles of 90.00, 90.00 and 90.00 degrees. The distinct sites, in fractional coordinates, are Ca at (0.0000, 0.0000, 0.0000), In at (0.0000, 0.0000, 0.3323), Hg at (0.0000, 0.5000, 0.1685), Hg at (0.0000, 0.5000, 0.5000), Hg at (0.5000, 0.5000, 0.0000) and Hg at (0.5000, 0.5000, 0.3347).

The total magnetization is 0.00 μB per cell. For the calculated formation energy, the calculation gives -0.122 eV per atom.

---

(2)
This record from Alexandria describes crystalline HoThCuSn at its relaxed geometry. The functional is PBE-GGA.

The space group is F-43m (No. 216) and the conventional cell measures 7.3833, 7.3833 and 7.3833 Å, with angles of 90.00, 90.00 and 90.00 degrees. The distinct sites, in fractional coordinates, are Ho at (0.0000, 0.0000, 0.0000), Th at (0.0000, 0.0000, 0.5000), Cu at (0.2500, 0.2500, 0.7500) and Sn at (0.2500, 0.2500, 0.2500).

The total magnetization is 0.00 μB per cell. For the calculated formation energy, the calculation gives -0.295 eV per atom.

---

(3)
This record from Alexandria describes crystalline Ce3TmAl8 at its relaxed geometry. The functional is PBE-GGA.

The space group is P3m1 (No. 156) and the conventional cell measures 5.6046, 5.6046 and 9.0477 Å, with angles of 90.00, 90.00 and 120.00 degrees. The distinct sites, in fractional coordinates, are Ce at (0.0000, 0.0000, 0.0000), Ce at (0.0000, 0.0000, 0.3316), Ce at (0.3333, 0.6667, 0.8491), Tm at (0.3333, 0.6667, 0.4858), Al at (0.0096, 0.5048, 0.1675), Al at (0.3239, 0.1619, 0.6625), Al at (0.6667, 0.3333, 0.4146) and Al at (0.6667, 0.3333, 0.9133).

The total magnetization is 1.11 μB per cell. For the calculated formation energy, the calculation gives -0.455 eV per atom. The energy relative to the lowest polymorph listed for this composition comes out at 0.007 eV per atom.

---

(4)
This record from Alexandria describes crystalline Na5U3Cl12 at its relaxed geometry. The functional is PBE-GGA.

The space group is Ia-3d (No. 230) and the conventional cell measures 16.3070, 16.3070 and 16.3070 Å, with angles of 90.00, 90.00 and 90.00 degrees. The distinct sites, in fractional coordinates, are Na at (0.0000, 0.0000, 0.0000), Na at (0.0000, 0.2500, 0.3750), U at (0.0000, 0.2500, 0.1250) and Cl at (0.0214, 0.0710, 0.6537).

The total magnetization is 88.01 μB per cell. For the energy relative to the elements, uncorrected, the calculation gives -1.487 eV/atom.

---

(5)
This record from Alexandria describes crystalline Ba2NaHg at its relaxed geometry. The functional is PBE-GGA.

The space group is R3m (No. 160, hexagonal axes) and the conventional cell measures 4.7134, 4.7134 and 31.4715 Å, with angles of 90.00, 90.00 and 120.00 degrees. The distinct sites, in fractional coordinates, are Ba at (0.0000, 0.0000, 0.0000), Ba at (0.0000, 0.0000, 0.1970), Na at (0.0000, 0.0000, 0.7645) and Hg at (0.0000, 0.0000, 0.5989).

The total magnetization is 1.78 μB per cell. For the calculated formation energy, the calculation gives -0.167 eV per atom.

---

(6)
This record from Alexandria describes crystalline Fe5Tc4 at its relaxed geometry. The functional is PBE-GGA.

The space group is P6_3/mcm (No. 193) and the conventional cell measures 7.1425, 7.1425 and 5.1254 Å, with angles of 90.00, 90.00 and 120.00 degrees. The distinct sites, in fractional coordinates, are Fe at (0.0000, 0.3329, 0.2500), Fe at (0.3333, 0.6667, 0.0000), Tc at (0.0000, 0.0000, 0.0000) and Tc at (0.0000, 0.3400, 0.7500).

The total magnetization is 0.72 μB per cell. For the calculated formation energy, the calculation gives 0.165 eV per atom. The energy relative to the lowest polymorph listed for this composition comes out at 0.049 eV per atom.

---

no.,VASP energy (eV/atom)
1,-0.972
2,-5.319
3,-4.806
4,-4.618
5,-1.534
6,-9.144